Entry a
Th3PdRu | PBE-GGA | relaxed

a = 6.8685 Å, b = 6.8685 Å, c = 10.1989 Å
α = 97.66°, β = 97.66°, γ = 33.70°
Fractional coordinates of all 10 atoms:
Th 0.0915 0.0915 0.3784
Th 0.3479 0.3479 0.9189
Th 0.3532 0.3532 0.2893
Th 0.6468 0.6468 0.7107
Th 0.6521 0.6521 0.0811
Th 0.9085 0.9085 0.6216
Pd 0.0478 0.0478 0.8824
Pd 0.9522 0.9522 0.1176
Ru 0.2664 0.2664 0.6136
Ru 0.7336 0.7336 0.3864

Summary:
M_tot: 0.0 μB/f.u.
SG: C2/m (12)
Calculated density: 11.35 g/cm³

***

Entry b
Th3PdRu | PBE-GGA | relaxed

a = 8.2825 Å, b = 3.8905 Å, c = 8.5544 Å
α = 90.00°, β = 111.63°, γ = 90.00°
Fractional coordinates of all 10 atoms:
Th 0.0334 0.2500 0.1741
Th 0.2124 0.7500 0.5705
Th 0.3980 0.7500 0.1240
Th 0.6020 0.2500 0.8760
Th 0.7876 0.2500 0.4295
Th 0.9666 0.7500 0.8259
Pd 0.3984 0.2500 0.3959
Pd 0.6016 0.7500 0.6041
Ru 0.2377 0.2500 0.8415
Ru 0.7623 0.7500 0.1585

Summary:
M_tot: 0.0 μB/f.u.
SG: P2_1/m (11)
Calculated density: 11.71 g/cm³

***

The structure with the least stability is entry a.

***

Entry a
Th4PdRu | PBE-GGA | relaxed

a = 7.2139 Å, b = 7.2139 Å, c = 6.0659 Å
α = 90.00°, β = 90.00°, γ = 90.00°
Fractional coordinates of all 12 atoms:
Th 0.1581 0.3260 0.0000
Th 0.1581 0.6740 0.5000
Th 0.3260 0.1581 0.5000
Th 0.3260 0.8419 0.0000
Th 0.6740 0.1581 0.0000
Th 0.6740 0.8419 0.5000
Th 0.8419 0.3260 0.5000
Th 0.8419 0.6740 0.0000
Pd 0.5000 0.5000 0.2500
Pd 0.5000 0.5000 0.7500
Ru 0.0000 0.0000 0.2500
Ru 0.0000 0.0000 0.7500

Summary:
M_tot: 0.0 μB/f.u.
SG: P4/mcc (124)
Calculated density: 11.95 g/cm³

***

Entry b
Th4PdRu | PBE-GGA | relaxed

a = 7.2384 Å, b = 6.8003 Å, c = 7.2681 Å
α = 90.00°, β = 99.25°, γ = 90.00°
Fractional coordinates of all 12 atoms:
Th 0.1517 0.1540 0.3671
Th 0.1517 0.3460 0.8671
Th 0.3423 0.6622 0.2913
Th 0.3423 0.8378 0.7913
Th 0.6577 0.1622 0.2087
Th 0.6577 0.3378 0.7087
Th 0.8483 0.6540 0.1329
Th 0.8483 0.8460 0.6329
Pd 0.0000 0.0000 0.0000
Pd 0.0000 0.5000 0.5000
Ru 0.5000 0.0000 0.5000
Ru 0.5000 0.5000 0.0000

Summary:
M_tot: 0.0 μB/f.u.
SG: P2_1/c (14)
Calculated density: 10.68 g/cm³

***

The structure with the least stability is entry b.

***

Entry a
ThZnPdRu | PBE-GGA | relaxed

a = 6.7051 Å, b = 6.7051 Å, c = 6.7051 Å
α = 90.00°, β = 90.00°, γ = 90.00°
Fractional coordinates of all 16 atoms:
Th 0.0000 0.0000 0.0000
Th 0.0000 0.5000 0.5000
Th 0.5000 0.0000 0.5000
Th 0.5000 0.5000 0.0000
Zn 0.0000 0.0000 0.5000
Zn 0.0000 0.5000 0.0000
Zn 0.5000 0.0000 0.0000
Zn 0.5000 0.5000 0.5000
Pd 0.2500 0.2500 0.7500
Pd 0.2500 0.7500 0.2500
Pd 0.7500 0.2500 0.2500
Pd 0.7500 0.7500 0.7500
Ru 0.2500 0.2500 0.2500
Ru 0.2500 0.7500 0.7500
Ru 0.7500 0.2500 0.7500
Ru 0.7500 0.7500 0.2500

Summary:
M_tot: 0.0 μB/f.u.
SG: F-43m (216)
Calculated density: 11.13 g/cm³

***

Entry b
ThZnPdRu | PBE-GGA | relaxed

a = 3.8085 Å, b = 4.0738 Å, c = 4.7563 Å
α = 90.00°, β = 90.00°, γ = 90.00°
Fractional coordinates of all 4 atoms:
Th 0.0000 0.0000 0.0000
Zn 0.0000 0.5000 0.5000
Pd 0.5000 0.0000 0.5000
Ru 0.5000 0.5000 0.0000

Summary:
M_tot: 0.0 μB/f.u.
SG: Pmmm (47)
Calculated density: 11.36 g/cm³

***

The structure with the least stability is entry a.

***

Entry a
Ti2Pd2Ru | PBE-GGA | relaxed

a = 7.2123 Å, b = 7.2123 Å, c = 3.0342 Å
α = 90.00°, β = 90.00°, γ = 90.00°
Fractional coordinates of all 10 atoms:
Ti 0.1752 0.3248 0.0000
Ti 0.3248 0.8248 0.0000
Ti 0.6752 0.1752 0.0000
Ti 0.8248 0.6752 0.0000
Pd 0.1292 0.6292 0.5000
Pd 0.3708 0.1292 0.5000
Pd 0.6292 0.8708 0.5000
Pd 0.8708 0.3708 0.5000
Ru 0.0000 0.0000 0.5000
Ru 0.5000 0.5000 0.5000

Summary:
M_tot: 0.0 μB/f.u.
SG: P4/mbm (127)
Calculated density: 8.62 g/cm³

***

Entry b
Ti2Pd2Ru | PBE-GGA | relaxed

a = 6.8439 Å, b = 6.8439 Å, c = 3.4021 Å
α = 90.00°, β = 90.00°, γ = 90.00°
Fractional coordinates of all 10 atoms:
Ti 0.1618 0.3382 0.0000
Ti 0.3382 0.8382 0.0000
Ti 0.6618 0.1618 0.0000
Ti 0.8382 0.6618 0.0000
Pd 0.1422 0.6422 0.5000
Pd 0.3578 0.1422 0.5000
Pd 0.6422 0.8578 0.5000
Pd 0.8578 0.3578 0.5000
Ru 0.0000 0.0000 0.0000
Ru 0.5000 0.5000 0.0000

Summary:
M_tot: 0.0 μB/f.u.
SG: P4/mbm (127)
Calculated density: 8.54 g/cm³

***

Entry c
Ti2Pd2Ru | PBE-GGA | relaxed

a = 3.5747 Å, b = 3.5747 Å, c = 13.0920 Å
α = 90.00°, β = 90.00°, γ = 90.00°
Fractional coordinates of all 10 atoms:
Ti 0.0000 0.0000 0.0988
Ti 0.0000 0.0000 0.9012
Ti 0.5000 0.5000 0.4012
Ti 0.5000 0.5000 0.5988
Pd 0.0000 0.5000 0.2500
Pd 0.0000 0.5000 0.7500
Pd 0.5000 0.0000 0.2500
Pd 0.5000 0.0000 0.7500
Ru 0.0000 0.0000 0.5000
Ru 0.5000 0.5000 0.0000

Summary:
M_tot: 0.4 μB/f.u.
SG: I4/mmm (139)
Calculated density: 8.13 g/cm³

***

The structure with the least stability is entry c.

***

Entry a
TiPdRu | PBE-GGA | relaxed

a = 2.8578 Å, b = 4.3927 Å, c = 7.3128 Å
α = 90.00°, β = 90.00°, γ = 90.00°
Fractional coordinates of all 6 atoms:
Ti 0.2500 0.2500 0.2456
Ti 0.7500 0.7500 0.7544
Pd 0.2500 0.2500 0.6069
Pd 0.7500 0.7500 0.3931
Ru 0.2500 0.7500 0.0442
Ru 0.7500 0.2500 0.9558

Summary:
M_tot: 0.0 μB/f.u.
SG: Pmmn (59)
Calculated density: 9.24 g/cm³

***

Entry b
TiPdRu | PBE-GGA | relaxed

a = 2.6889 Å, b = 2.6889 Å, c = 13.7509 Å
α = 90.00°, β = 90.00°, γ = 90.00°
Fractional coordinates of all 6 atoms:
Ti 0.0000 0.0000 0.0000
Ti 0.5000 0.5000 0.5000
Pd 0.0000 0.0000 0.1815
Pd 0.5000 0.5000 0.6815
Ru 0.0000 0.0000 0.8264
Ru 0.5000 0.5000 0.3264

Summary:
M_tot: 0.0 μB/f.u.
SG: I4mm (107)
Calculated density: 8.53 g/cm³

***

The structure with the least stability is entry b.

***

Entry a
TiPdRu3 | PBE-GGA | relaxed

a = 4.6932 Å, b = 4.6932 Å, c = 4.6932 Å
α = 90.00°, β = 90.00°, γ = 90.00°
Fractional coordinates of all 5 atoms:
Ti 0.0000 0.0000 0.0000
Pd 0.5000 0.5000 0.5000
Ru 0.0000 0.5000 0.5000
Ru 0.5000 0.0000 0.5000
Ru 0.5000 0.5000 0.0000

Summary:
M_tot: 3.9 μB/f.u.
SG: Pm-3m (221)
Calculated density: 7.35 g/cm³

***

Entry b
TiPdRu3 | PBE-GGA | relaxed

a = 4.4708 Å, b = 4.4708 Å, c = 4.4708 Å
α = 90.00°, β = 90.00°, γ = 90.00°
Fractional coordinates of all 5 atoms:
Ti 0.0000 0.0000 0.0000
Pd 0.5000 0.5000 0.5000
Ru 0.0000 0.0000 0.5000
Ru 0.0000 0.5000 0.0000
Ru 0.5000 0.0000 0.0000

Summary:
M_tot: 2.4 μB/f.u.
SG: Pm-3m (221)
Calculated density: 8.50 g/cm³

***

The structure with the least stability is entry a.

***

Entry a
Tl2PdRu2 | PBE-GGA | relaxed

a = 7.8426 Å, b = 7.8426 Å, c = 3.1150 Å
α = 90.00°, β = 90.00°, γ = 90.00°
Fractional coordinates of all 10 atoms:
Tl 0.1808 0.3192 0.0000
Tl 0.3192 0.8192 0.0000
Tl 0.6808 0.1808 0.0000
Tl 0.8192 0.6808 0.0000
Pd 0.0000 0.0000 0.0000
Pd 0.5000 0.5000 0.0000
Ru 0.1147 0.6147 0.5000
Ru 0.3853 0.1147 0.5000
Ru 0.6147 0.8853 0.5000
Ru 0.8853 0.3853 0.5000

Summary:
M_tot: 1.9 μB/f.u.
SG: P4/mbm (127)
Calculated density: 12.43 g/cm³

***

Entry b
Tl2PdRu2 | PBE-GGA | relaxed

a = 3.4694 Å, b = 3.4694 Å, c = 16.9193 Å
α = 90.00°, β = 90.00°, γ = 90.00°
Fractional coordinates of all 10 atoms:
Tl 0.0000 0.0000 0.1027
Tl 0.0000 0.0000 0.8973
Tl 0.5000 0.5000 0.3973
Tl 0.5000 0.5000 0.6027
Pd 0.0000 0.0000 0.5000
Pd 0.5000 0.5000 0.0000
Ru 0.0000 0.5000 0.2500
Ru 0.0000 0.5000 0.7500
Ru 0.5000 0.0000 0.2500
Ru 0.5000 0.0000 0.7500

Summary:
M_tot: 0.0 μB/f.u.
SG: I4/mmm (139)
Calculated density: 11.70 g/cm³

***

The structure with the least stability is entry a.

***

Entry a
TlPd3Ru | PBE-GGA | relaxed

a = 4.8567 Å, b = 4.8567 Å, c = 4.8567 Å
α = 90.00°, β = 90.00°, γ = 90.00°
Fractional coordinates of all 5 atoms:
Tl 0.0000 0.0000 0.0000
Pd 0.0000 0.5000 0.5000
Pd 0.5000 0.0000 0.5000
Pd 0.5000 0.5000 0.0000
Ru 0.5000 0.5000 0.5000

Summary:
M_tot: 0.9 μB/f.u.
SG: Pm-3m (221)
Calculated density: 9.06 g/cm³

***

Entry b
TlPd3Ru | PBE-GGA | relaxed

a = 4.9814 Å, b = 4.9814 Å, c = 4.9814 Å
α = 90.00°, β = 90.00°, γ = 90.00°
Fractional coordinates of all 5 atoms:
Tl 0.0000 0.0000 0.0000
Pd 0.0000 0.0000 0.5000
Pd 0.0000 0.5000 0.0000
Pd 0.5000 0.0000 0.0000
Ru 0.5000 0.5000 0.5000

Summary:
M_tot: 3.0 μB/f.u.
SG: Pm-3m (221)
Calculated density: 8.39 g/cm³

***

The structure with the least stability is entry b.

***

Entry a
Tm4PdRu | PBE-GGA | relaxed

a = 4.7563 Å, b = 4.7563 Å, c = 6.7768 Å
α = 90.00°, β = 90.00°, γ = 90.00°
Fractional coordinates of all 6 atoms:
Tm 0.0000 0.5000 0.2426
Tm 0.0000 0.5000 0.7574
Tm 0.5000 0.0000 0.2426
Tm 0.5000 0.0000 0.7574
Pd 0.0000 0.0000 0.5000
Ru 0.5000 0.5000 0.0000

Summary:
M_tot: 0.0 μB/f.u.
SG: P4/mmm (123)
Calculated density: 9.57 g/cm³

***

Entry b
Tm4PdRu | PBE-GGA | relaxed

a = 7.8086 Å, b = 7.8086 Å, c = 6.2282 Å
α = 108.08°, β = 108.08°, γ = 110.78°
Fractional coordinates of all 12 atoms:
Tm 0.0513 0.7016 0.9041
Tm 0.2327 0.3607 0.7224
Tm 0.2984 0.9487 0.5959
Tm 0.3607 0.2327 0.2224
Tm 0.6393 0.7673 0.7776
Tm 0.7016 0.0513 0.4041
Tm 0.7673 0.6393 0.2776
Tm 0.9487 0.2984 0.0959
Pd 0.3639 0.6361 0.2500
Pd 0.6361 0.3639 0.7500
Ru 0.0019 0.9981 0.2500
Ru 0.9981 0.0019 0.7500

Summary:
M_tot: 0.0 μB/f.u.
SG: C2/c (15)
Calculated density: 9.86 g/cm³

***

The structure with the least stability is entry a.

***

Entry a
Tm8Pd2Ru | PBE-GGA | relaxed

a = 8.8439 Å, b = 8.8439 Å, c = 6.6885 Å
α = 106.52°, β = 106.52°, γ = 32.96°
Fractional coordinates of all 11 atoms:
Tm 0.0309 0.0309 0.2936
Tm 0.1999 0.1999 0.8103
Tm 0.3356 0.3356 0.5318
Tm 0.4085 0.4085 0.0612
Tm 0.5915 0.5915 0.9388
Tm 0.6644 0.6644 0.4682
Tm 0.8001 0.8001 0.1897
Tm 0.9691 0.9691 0.7064
Pd 0.1863 0.1863 0.2098
Pd 0.8137 0.8137 0.7902
Ru 0.5000 0.5000 0.5000

Summary:
M_tot: 0.0 μB/f.u.
SG: C2/m (12)
Calculated density: 10.17 g/cm³

***

Entry b
Tm8Pd2Ru | PBE-GGA | relaxed

a = 7.6588 Å, b = 7.6588 Å, c = 5.7757 Å
α = 100.83°, β = 100.83°, γ = 116.00°
Fractional coordinates of all 11 atoms:
Tm 0.0000 0.0000 0.0000
Tm 0.0225 0.2682 0.5644
Tm 0.1458 0.5605 0.1741
Tm 0.2682 0.0225 0.5644
Tm 0.4441 0.6886 0.7672
Tm 0.5605 0.1458 0.1741
Tm 0.6886 0.4441 0.7672
Tm 0.7151 0.7151 0.3537
Pd 0.0573 0.6642 0.6809
Pd 0.6642 0.0573 0.6809
Ru 0.3574 0.3574 0.3070

Summary:
M_tot: 0.0 μB/f.u.
SG: Cm (8)
Calculated density: 9.71 g/cm³

***

The structure with the least stability is entry b.

***

Entry a
UPdRu | PBE-GGA | relaxed

a = 3.6548 Å, b = 3.6548 Å, c = 5.0093 Å
α = 90.00°, β = 90.00°, γ = 120.00°
Fractional coordinates of all 3 atoms:
U 0.0000 0.0000 0.0000
Pd 0.3333 0.6667 0.6400
Ru 0.6667 0.3333 0.2907

Summary:
M_tot: 0.1 μB/f.u.
SG: P3m1 (156)
Calculated density: 12.77 g/cm³

***

Entry b
UPdRu | PBE-GGA | relaxed

a = 7.8070 Å, b = 7.8070 Å, c = 7.8070 Å
α = 104.27°, β = 97.55°, γ = 128.47°
Fractional coordinates of all 18 atoms:
U 0.1952 0.0086 0.2038
U 0.1952 0.4914 0.6867
U 0.5403 0.3659 0.6744
U 0.6915 0.8659 0.3256
U 0.8048 0.5086 0.3133
U 0.8048 0.9914 0.7962
Pd 0.0165 0.7283 0.7882
Pd 0.0928 0.9965 0.5963
Pd 0.4003 0.4965 0.4037
Pd 0.4518 0.8981 0.0537
Pd 0.8444 0.3981 0.9463
Pd 0.9401 0.2283 0.2118
Ru 0.2058 0.3944 0.9766
Ru 0.2058 0.7292 0.3113
Ru 0.4179 0.2292 0.0234
Ru 0.4179 0.8944 0.6887
Ru 0.6924 0.1924 0.5000
Ru 0.6924 0.6924 0.0000

Summary:
M_tot: 0.9 μB/f.u.
SG: Ima2 (46)
Calculated density: 13.26 g/cm³

***

The structure with the least stability is entry a.